# 1
VASP calculation (GGA-PBE) on a relaxed structure of LiZn2Cd.

Cell lengths 3.703, 4.179, 4.316 Å; angles 90.00, 90.00, 90.00 degrees
Atoms (fractional coordinates):
Cd1 0.500 0.000 0.500
Zn1 0.000 0.000 0.000
Zn2 0.500 0.500 0.000
Li1 0.000 0.500 0.500

Summary:
- magnetic moment (μB per formula unit) = 0.00
- SG = Pmmm, No. 47
- electronic total energy (eV/atom) = -1.449

=====

# 2
VASP calculation (GGA-PBE) on a relaxed structure of ScICl2.

Cell lengths 5.105, 5.105, 5.105 Å; angles 60.00, 60.00, 60.00 degrees
Atoms (fractional coordinates):
Cl1 0.750 0.750 0.750
Cl2 0.250 0.250 0.250
I1 0.500 0.500 0.500
Sc1 0.000 0.000 0.000

Summary:
- magnetic moment (μB per formula unit) = 0.00
- energy above the most stable polymorph in this dataset (meV/atom) = 1041
- SG = Fm-3m, No. 225
- ΔE_f (raw) (eV/atom) = -0.724

=====

# 3
VASP calculation (GGA-PBE) on a relaxed structure of Rb3Sm3PaSe8.

Cell lengths 8.570, 8.571, 9.530 Å; angles 116.74, 90.00, 120.00 degrees
Each line ends with the local moment (μB).
Atoms (fractional coordinates):
Sm1 0.500 0.500 0.500  0.01
Sm2 0.500 0.000 0.500  0.01
Sm3 0.000 0.500 0.500  0.01
Rb1 0.000 0.000 0.000  0.00
Rb2 0.500 0.500 0.000  0.00
Rb3 0.000 0.500 0.000  0.00
Se1 0.738 0.966 0.693  -0.01
Se2 0.227 0.966 0.693  -0.01
Se3 0.267 0.535 0.302  0.00
Se4 0.773 0.545 0.307  -0.01
Se5 0.773 0.034 0.307  -0.01
Se6 0.262 0.034 0.307  -0.01
Se7 0.227 0.455 0.693  -0.01
Se8 0.733 0.465 0.698  0.00
Pa1 0.000 0.000 0.500  1.00

Summary:
- magnetic moment (μB per formula unit) = 1.04
- SG = R-3m, No. 166
- ΔE_f (raw) (eV/atom) = -1.673

=====

# 4
VASP calculation (GGA-PBE) on a relaxed structure of BaTlSb2.

Cell lengths 5.179, 4.926, 5.568 Å; angles 90.06, 90.00, 90.00 degrees
Atoms (fractional coordinates):
Sb1 0.500 0.125 0.294
Sb2 0.000 0.125 0.004
Tl1 0.000 0.626 0.379
Ba1 0.500 0.625 0.823

Summary:
- magnetic moment (μB per formula unit) = 0.00
- energy above the most stable polymorph in this dataset (meV/atom) = 0
- SG = Pm, No. 6
- ΔE_f (raw) (eV/atom) = -0.488

=====

# 5
VASP calculation (GGA-PBE) on a relaxed structure of CaAlGe2Cl.

Cell lengths 5.067, 5.103, 5.067 Å; angles 90.00, 90.00, 90.00 degrees
Atoms (fractional coordinates):
Al1 0.500 0.500 0.500
Ca1 0.000 0.500 0.000
Cl1 0.000 0.000 0.000
Ge1 0.000 0.000 0.500
Ge2 0.500 0.000 0.000

Summary:
- magnetic moment (μB per formula unit) = 0.00
- SG = P4/mmm, No. 123
- ΔE_f (raw) (eV/atom) = 0.215

=====

# 6
VASP calculation (GGA-PBE) on a relaxed structure of SmHoPdRu.

Cell lengths 3.455, 3.455, 7.077 Å; angles 90.00, 90.00, 90.00 degrees
Atoms (fractional coordinates):
Pd1 0.000 0.000 0.844
Sm1 0.500 0.500 0.119
Ru1 0.000 0.000 0.366
Ho1 0.500 0.500 0.598

Summary:
- magnetic moment (μB per formula unit) = 0.00
- energy above the most stable polymorph in this dataset (meV/atom) = 0
- SG = P4mm, No. 99